1.
# ScHgB (GGA-PBE, relaxed)
data_ScHgB
_chemical_formula_sum 'Sc4 Hg4 B4'
_symmetry_space_group_name_H-M 'P 1'
_symmetry_Int_Tables_number 1
_symmetry_space_group_name_Hall 'P 1'
_cell_length_a 11.591
_cell_length_b 3.383
_cell_length_c 6.113
_cell_angle_alpha 90.00
_cell_angle_beta 114.73
_cell_angle_gamma 90.00
loop_
_atom_site_label
_atom_site_type_symbol
_atom_site_fract_x
_atom_site_fract_y
_atom_site_fract_z
Sc1 Sc 0.000 0.000 0.000
Sc2 Sc 0.248 0.500 0.502
Sc3 Sc 0.500 0.500 0.000
Sc4 Sc 0.748 0.000 0.502
Hg1 Hg 0.037 0.000 0.524
Hg2 Hg 0.278 0.000 0.115
Hg3 Hg 0.537 0.500 0.524
Hg4 Hg 0.778 0.500 0.115
B1 B 0.347 0.000 0.820
B2 B 0.428 0.000 0.668
B3 B 0.847 0.500 0.820
B4 B 0.928 0.500 0.668
# space-group type	Cm
# ρ	7.82	g/cm3
# energy relative to the lowest polymorph listed for this composition	0.435	eV per atom
# calculated formation energy	-0.077	eV/atom

2.
# AcNdZnPb (GGA-PBE, relaxed)
data_AcNdZnPb
_chemical_formula_sum 'Ac4 Nd4 Zn4 Pb4'
_symmetry_space_group_name_H-M 'P 1'
_symmetry_Int_Tables_number 1
_symmetry_space_group_name_Hall 'P 1'
_cell_length_a 7.893
_cell_length_b 7.893
_cell_length_c 7.893
_cell_angle_alpha 90.00
_cell_angle_beta 90.00
_cell_angle_gamma 90.00
loop_
_atom_site_label
_atom_site_type_symbol
_atom_site_fract_x
_atom_site_fract_y
_atom_site_fract_z
Ac1 Ac 0.000 0.000 0.000
Ac2 Ac 0.000 0.500 0.500
Ac3 Ac 0.500 0.000 0.500
Ac4 Ac 0.500 0.500 0.000
Nd1 Nd 0.000 0.000 0.500
Nd2 Nd 0.000 0.500 0.000
Nd3 Nd 0.500 0.000 0.000
Nd4 Nd 0.500 0.500 0.500
Zn1 Zn 0.250 0.250 0.750
Zn2 Zn 0.250 0.750 0.250
Zn3 Zn 0.750 0.250 0.250
Zn4 Zn 0.750 0.750 0.750
Pb1 Pb 0.250 0.250 0.250
Pb2 Pb 0.250 0.750 0.750
Pb3 Pb 0.750 0.250 0.750
Pb4 Pb 0.750 0.750 0.250
# space-group type	F-43m
# ρ	8.70	g/cm3
# calculated formation energy	-0.356	eV/atom